DFT (PBE) results for a relaxed Pr2AgAu crystal.

Values from the calculation:
E_tot, eV/cell: -33.8
Energy relative to the elements, kJ/mol of atoms: -28.7

Lattice parameters (Å, degrees): 8.4190 4.8627 6.0018 90.00 117.98 90.00
Closest atoms and distances in Å follow each position.
Space group Cm (No. 8)
One atom of each set of equivalent atoms:
1 Pr 0.0000 0.0000 0.0000 (multiplicity 2)  3 Au 3.18, 4 Pr 3.19-3.52, 3 Ag 3.25
2 Pr 0.2009 0.0000 0.6021 (multiplicity 2)  4 Pr 3.19-3.52, 3 Ag 3.20-3.21, 3 Au 3.28
3 Ag 0.2701 0.5000 0.3098 (multiplicity 2)  3 Au 2.81
4 Au 0.4278 0.0000 0.2830 (multiplicity 2)  3 Ag 2.81


DFT (PBE) results for a relaxed Pr2Ag3Au2 crystal.

Values from the calculation:
E_tot, eV/cell: -54.8
Energy above the most stable polymorph in this dataset, meV/atom: 91
Energy relative to the elements, kJ/mol of atoms: -37.4

Lattice parameters (Å, degrees): 4.2268 20.8844 3.7701 90.00 90.00 90.00
Closest atoms and distances in Å follow each position.
Space group Cmmm (No. 65)
One atom of each set of equivalent atoms:
1 Pr 0.0000 0.1515 0.0000 (multiplicity 4)  4 Au 3.05, 5 Ag 3.16-3.35
2 Ag 0.0000 0.0000 0.0000 (multiplicity 2)  8 Ag 3.15, 2 Pr 3.16
3 Ag 0.0000 0.4345 0.5000 (multiplicity 4)  1 Ag 2.74, 1 Au 2.93
4 Au 0.0000 0.2941 0.5000 (multiplicity 4)  2 Au 2.80, 1 Ag 2.93, 4 Pr 3.05


DFT (PBE) results for a relaxed Pr5AgAu4 crystal.

Values from the calculation:
E_tot, eV/cell: -46.3
Energy relative to the elements, kJ/mol of atoms: -62.6

Lattice parameters (Å, degrees): 3.7300 3.7300 18.9572 90.00 90.00 90.00
Closest atoms and distances in Å follow each position.
Space group P4/mmm (No. 123)
One atom of each set of equivalent atoms:
1 Pr 0.0000 0.0000 0.0000 (multiplicity 1)  8 Au 3.24
2 Pr 0.0000 0.0000 0.1986 (multiplicity 2)  8 Au 3.24-3.27
3 Pr 0.0000 0.0000 0.3965 (multiplicity 2)  4 Au 3.21, 4 Ag 3.29
4 Ag 0.5000 0.5000 0.5000 (multiplicity 1)  8 Pr 3.29
5 Au 0.5000 0.5000 0.0995 (multiplicity 2)  8 Pr 3.24
6 Au 0.5000 0.5000 0.3004 (multiplicity 2)  8 Pr 3.21-3.27


DFT (PBE) results for a relaxed PrAgAu4 crystal.

Values from the calculation:
E_tot, eV/cell: -91.9
Energy above the most stable polymorph in this dataset, meV/atom: 42
Energy relative to the elements, kJ/mol of atoms: -36.1

Lattice parameters (Å, degrees): 13.6771 7.2085 5.5502 90.00 110.68 90.00
Closest atoms and distances in Å follow each position.
Space group C2/m (No. 12)
One atom of each set of equivalent atoms:
1 Pr 0.2125 0.0000 0.1502 (multiplicity 4)  10 Au 3.04-3.37, 1 Ag 3.35
2 Ag 0.0323 0.5000 0.7601 (multiplicity 4)  1 Ag 2.70, 6 Au 2.73-2.92
3 Au 0.0000 0.1879 0.0000 (multiplicity 4)  3 Au 2.71-3.00, 2 Ag 2.73
4 Au 0.1170 0.1979 0.5705 (multiplicity 8)  2 Ag 2.84-3.10, 5 Au 2.85-3.11, 1 Pr 3.17
5 Au 0.1842 0.5000 0.2604 (multiplicity 4)  2 Ag 2.82-2.92, 4 Au 2.92-3.11, 2 Pr 3.07-3.08


Question: The lowest E_tot belongs to which entry?
Answer: PrAgAu4


Question: Which value of E_tot does entry 4 give?
Answer: -91.9 eV/cell


Question: Which value of energy relative to the elements does entry 4 give?
Answer: -36.1 kJ/mol of atoms